Record 1
A relaxed Ti2CoCuH crystal. Source: Alexandria, functional GGA-PBE.

abc: 4.086 4.086 3.430
angles: 90.00 90.00 90.00
Space group P4/mmm (No. 123)
One atom of each set of equivalent atoms:
Ti  0.000  0.500  0.000 (multiplicity 2)
Co  0.000  0.000  0.500 (multiplicity 1)
Cu  0.500  0.500  0.500 (multiplicity 1)
H  0.000  0.000  0.000 (multiplicity 1)

=====

Record 2
A relaxed Sr2CaSi2 crystal. Source: Alexandria, functional GGA-PBE.

abc: 5.634 5.634 10.781
angles: 90.00 90.00 90.00
Space group I4/mmm (No. 139)
One atom of each set of equivalent atoms:
Sr  0.000  0.000  0.159 (multiplicity 4)
Ca  0.000  0.000  0.500 (multiplicity 2)
Si  0.000  0.500  0.250 (multiplicity 4)

Formation energy from raw total energies   3.96 kcal/mol of atoms

=====

Record 3
A relaxed YCl2 crystal. Source: Alexandria, functional GGA-PBE.

abc: 4.8705 4.8705 6.1985
angles: 90.00 90.00 120.00
Space group P6_3/mmc (No. 194)
One atom of each set of equivalent atoms:
Y  0.3333  0.6667  0.2500 (multiplicity 2)
Cl  0.0000  0.0000  0.0000 (multiplicity 2)
Cl  0.3333  0.6667  0.7500 (multiplicity 2)

Formation energy from raw total energies   -35.48 kcal/mol of atoms

=====

Record 4
A relaxed LaPuTlSn crystal. Source: Alexandria, functional GGA-PBE.

abc: 7.791 7.791 7.791
angles: 90.00 90.00 90.00
Space group F-43m (No. 216)
One atom of each set of equivalent atoms:
La  0.000  0.000  0.000 (multiplicity 4)
Pu  0.000  0.000  0.500 (multiplicity 4)
Tl  0.250  0.250  0.250 (multiplicity 4)
Sn  0.250  0.250  0.750 (multiplicity 4)

Formation energy   -0.3318 eV/atom

=====

Record 5
A relaxed CaCoRh2 crystal. Source: Alexandria, functional GGA-PBE.

abc: 3.119 3.119 6.769
angles: 90.00 90.00 90.00
Space group P4/mmm (No. 123)
One atom of each set of equivalent atoms:
Ca  0.000  0.000  0.000 (multiplicity 1)
Co  0.000  0.000  0.500 (multiplicity 1)
Rh  0.500  0.500  0.300 (multiplicity 2)

Formation energy   0.0186 eV/atom

=====

Record 6
A relaxed Na2Bi crystal. Source: Alexandria, functional GGA-PBE.

abc: 8.904 8.904 8.904
angles: 90.00 90.00 90.00
Space group Fd-3m (No. 227, origin choice 2)
One atom of each set of equivalent atoms:
Na  0.000  0.000  0.000 (multiplicity 16)
Bi  0.125  0.125  0.625 (multiplicity 8)

Formation energy   -0.0127 eV/atom

=====

Record 7
A relaxed LiPmNdZn crystal. Source: Alexandria, functional GGA-PBE.

abc: 3.743 3.743 7.465
angles: 90.00 90.00 90.00
Space group P4mm (No. 99)
One atom of each set of equivalent atoms:
Li  0.000  0.000  0.000 (multiplicity 1)
Pm  0.500  0.500  0.265 (multiplicity 1)
Nd  0.500  0.500  0.730 (multiplicity 1)
Zn  0.000  0.000  0.494 (multiplicity 1)

Formation energy   -0.1199 eV/atom

=====

Record 8
A relaxed AlTlPS2 crystal. Source: Alexandria, functional GGA-PBE.

abc: 5.201 5.201 5.174
angles: 90.00 90.00 90.00
Space group P4/mmm (No. 123)
One atom of each set of equivalent atoms:
Al  0.000  0.000  0.000 (multiplicity 1)
Tl  0.500  0.500  0.500 (multiplicity 1)
P  0.500  0.500  0.000 (multiplicity 1)
S  0.000  0.500  0.500 (multiplicity 2)

Formation energy from raw total energies   22.82 kcal/mol of atoms

=====

Record 9
A relaxed MgSc7Ag4 crystal. Source: Alexandria, functional GGA-PBE.

abc: 13.637 5.277 8.787
angles: 90.00 122.36 90.00
Space group C2/m (No. 12)
One atom of each set of equivalent atoms:
Mg  0.000  0.000  0.000 (multiplicity 2)
Sc  0.000  0.500  0.000 (multiplicity 2)
Sc  0.074  0.000  0.418 (multiplicity 4)
Sc  0.197  0.000  0.882 (multiplicity 4)
Sc  0.236  0.500  0.696 (multiplicity 4)
Ag  0.042  0.500  0.709 (multiplicity 4)
Ag  0.187  0.500  0.343 (multiplicity 4)

Formation energy   0.0352 eV/atom

=====

Record 10
A relaxed GdHoIr crystal. Source: Alexandria, functional GGA-PBE.

abc: 3.481 3.481 12.755
angles: 90.00 90.00 90.00
Space group I4mm (No. 107)
One atom of each set of equivalent atoms:
Gd  0.000  0.000  0.000 (multiplicity 2)
Ho  0.000  0.000  0.254 (multiplicity 2)
Ir  0.000  0.000  0.631 (multiplicity 2)

Formation energy   -0.5638 eV/atom

=====

Record 11
A relaxed RbHCl2 crystal. Source: Alexandria, functional GGA-PBE.

abc: 7.699 7.699 7.699
angles: 90.00 90.00 90.00
Space group Fm-3m (No. 225)
One atom of each set of equivalent atoms:
Rb  0.000  0.000  0.000 (multiplicity 4)
H  0.000  0.000  0.500 (multiplicity 4)
Cl  0.250  0.250  0.250 (multiplicity 8)

=====

Record 12
A relaxed Pm8NdHo3 crystal. Source: Alexandria, functional GGA-PBE.

abc: 6.607 11.347 11.597
angles: 90.00 90.00 90.00
Space group I222 (No. 23)
One atom of each set of equivalent atoms:
Pm  0.000  0.165  0.249 (multiplicity 8)
Pm  0.241  0.261  0.502 (multiplicity 8)
Nd  0.000  0.000  0.500 (multiplicity 2)
Ho  0.000  0.000  0.000 (multiplicity 2)
Ho  0.000  0.500  0.261 (multiplicity 4)

Formation energy   0.3391 eV/atom

=====

Record 13
A relaxed NaScSn crystal. Source: Alexandria, functional GGA-PBE.

abc: 4.9128 4.9128 25.5355
angles: 90.00 90.00 120.00
Space group R-3m (No. 166, hexagonal axes)
One atom of each set of equivalent atoms:
Na  0.0000  0.0000  0.1311 (multiplicity 6)
Sc  0.0000  0.0000  0.2918 (multiplicity 6)
Sn  0.0000  0.0000  0.4080 (multiplicity 6)

Formation energy   -0.2103 eV/atom

=====

Record 14
A relaxed Al2SiO crystal. Source: Alexandria, functional GGA-PBE.

abc: 4.931 4.931 10.419
angles: 90.00 90.00 90.00
Space group I-42d (No. 122)
One atom of each set of equivalent atoms:
Al  0.168  0.250  0.125 (multiplicity 8)
Si  0.000  0.000  0.500 (multiplicity 4)
O  0.000  0.000  0.000 (multiplicity 4)

Formation energy from raw total energies   -20.35 kcal/mol of atoms

=====

Record 15
A relaxed Cs4Sb2H crystal. Source: Alexandria, functional GGA-PBE.

abc: 6.218 6.218 18.745
angles: 90.00 90.00 90.00
Space group I4/mmm (No. 139)
One atom of each set of equivalent atoms:
Cs  0.000  0.000  0.190 (multiplicity 4)
Cs  0.000  0.500  0.000 (multiplicity 4)
Sb  0.000  0.000  0.386 (multiplicity 4)
H  0.000  0.000  0.500 (multiplicity 2)

=====

Record 16
A relaxed V3ZnTc crystal. Source: Alexandria, functional GGA-PBE.

abc: 4.524 4.524 4.524
angles: 90.00 90.00 90.00
Space group Pm-3m (No. 221)
One atom of each set of equivalent atoms:
V  0.000  0.000  0.500 (multiplicity 3)
Zn  0.500  0.500  0.500 (multiplicity 1)
Tc  0.000  0.000  0.000 (multiplicity 1)

Formation energy   1.0694 eV/atom

=====

Record 17
A relaxed Pm2InSn crystal. Source: Alexandria, functional GGA-PBE.

abc: 5.040 5.040 4.446
angles: 90.00 90.00 90.00
Space group P4/mmm (No. 123)
One atom of each set of equivalent atoms:
Pm  0.000  0.500  0.000 (multiplicity 2)
In  0.000  0.000  0.500 (multiplicity 1)
Sn  0.500  0.500  0.500 (multiplicity 1)

Formation energy   -0.5930 eV/atom

=====

Record 18
A relaxed ReRhBr2 crystal. Source: Alexandria, functional GGA-PBE.

abc: 3.050 4.539 11.844
angles: 90.00 90.00 90.00
Space group Imm2 (No. 44)
One atom of each set of equivalent atoms:
Re  0.000  0.000  0.000 (multiplicity 2)
Rh  0.000  0.500  0.675 (multiplicity 2)
Br  0.000  0.000  0.529 (multiplicity 2)
Br  0.000  0.500  0.312 (multiplicity 2)

Formation energy from raw total energies   20.44 kcal/mol of atoms

=====

Record 19
A relaxed Cs3NiAs crystal. Source: Alexandria, functional GGA-PBE.

abc: 5.831 5.831 5.831
angles: 90.00 90.00 90.00
Space group Pm-3m (No. 221)
One atom of each set of equivalent atoms:
Cs  0.000  0.000  0.500 (multiplicity 3)
Ni  0.000  0.000  0.000 (multiplicity 1)
As  0.500  0.500  0.500 (multiplicity 1)

Formation energy   0.5147 eV/atom

=====

Record 20
A relaxed CdIrOs2 crystal. Source: Alexandria, functional GGA-PBE.

abc: 3.946 3.946 7.953
angles: 90.00 90.00 90.00
Space group I-4m2 (No. 119)
One atom of each set of equivalent atoms:
Cd  0.000  0.000  0.000 (multiplicity 2)
Ir  0.000  0.500  0.750 (multiplicity 2)
Os  0.000  0.000  0.500 (multiplicity 2)
Os  0.000  0.500  0.250 (multiplicity 2)

Formation energy   0.5770 eV/atom

=====

For reference, Fermi-level density of states by record: 5.6, 4.8, 1.8, 46.8, 4.2, 22.2, 4.7, 3.6, 32.8, 6.6, 37.0, 33.7, 1.8, 0.5, 7.9, 4.9, 3.0, 8.3, 6.6, 10.6 states/eV per cell.
For reference, electronic total energy by record: -6.289, -3.070, -4.924, -6.739, -5.934, -2.186, -3.296, -2.965, -4.742, -9.737, -2.179, -4.370, -4.095, -5.349, -2.333, -6.730, -4.654, -4.900, -2.084, -7.482 eV/atom.